## BaBiB3 (PBE)

Data for crystalline BaBiB3 at its relaxed geometry.

a = 4.884 Å, b = 4.884 Å, c = 4.884 Å
α = 90.00°, β = 90.00°, γ = 90.00°
Positions (direct):
1 B 0.000 0.500 0.000
2 B 0.000 0.000 0.500
3 B 0.500 0.000 0.000
4 Bi 0.000 0.000 0.000
5 Ba 0.500 0.500 0.500

Computed properties:
* formation enthalpy at 0 K: 1706 meV per atom
* space group: No. 221



## Tb4Ho5Er2 (PBE)

Data for crystalline Tb4Ho5Er2 at its relaxed geometry.

a = 7.322 Å, b = 6.576 Å, c = 9.871 Å
α = 63.27°, β = 68.23°, γ = 56.17°
Positions (direct):
1 Tb 0.317 0.868 0.498
2 Tb 0.683 0.132 0.502
3 Tb 0.670 0.780 0.879
4 Tb 0.330 0.220 0.121
5 Ho 0.209 0.361 0.779
6 Ho 0.791 0.639 0.221
7 Ho 0.000 0.500 0.500
8 Ho 0.651 0.361 0.779
9 Ho 0.349 0.639 0.221
10 Er 0.144 0.835 0.878
11 Er 0.856 0.165 0.122

Computed properties:
* formation enthalpy at 0 K: 128 meV per atom
* space group: No. 12



## SrZn2Sb (PBE)

Data for crystalline SrZn2Sb at its relaxed geometry.

a = 5.857 Å, b = 5.857 Å, c = 5.857 Å
α = 134.03°, β = 134.03°, γ = 67.05°
Positions (direct):
1 Sb 0.500 0.500 0.000
2 Sr 0.750 0.250 0.500
3 Zn 0.000 0.000 0.000
4 Zn 0.250 0.750 0.500

Computed properties:
* space group: No. 119
* E_form (uncorrected): -0.17 eV per atom



## LiMgBe (PBE)

Data for crystalline LiMgBe at its relaxed geometry.

a = 7.190 Å, b = 2.906 Å, c = 9.548 Å
α = 90.00°, β = 111.41°, γ = 90.00°
Positions (direct):
1 Li 0.844 0.000 0.182
2 Li 0.844 0.500 0.682
3 Li 0.428 0.000 0.527
4 Li 0.428 0.500 0.027
5 Mg 0.027 0.000 0.498
6 Mg 0.027 0.500 0.998
7 Mg 0.613 0.000 0.846
8 Mg 0.613 0.500 0.346
9 Be 0.168 0.000 0.819
10 Be 0.168 0.500 0.319
11 Be 0.295 0.000 0.210
12 Be 0.295 0.500 0.710

Computed properties:
* formation enthalpy at 0 K: 156 meV per atom
* space group: No. 8



## Ti2BN (PBE)

Data for crystalline Ti2BN at its relaxed geometry.

a = 3.014 Å, b = 3.143 Å, c = 8.770 Å
α = 100.32°, β = 90.00°, γ = 90.00°
Positions (direct):
1 Ti 0.750 0.693 0.385
2 Ti 0.250 0.307 0.615
3 Ti 0.750 0.928 0.856
4 Ti 0.250 0.072 0.144
5 B 0.250 0.473 0.946
6 B 0.750 0.527 0.054
7 N 0.250 0.189 0.378
8 N 0.750 0.811 0.622

Computed properties:
* space group: No. 63
* E_form (uncorrected): -1.32 eV per atom



## Zr3TeH3 (PBE)

Data for crystalline Zr3TeH3 at its relaxed geometry.

a = 5.788 Å, b = 5.788 Å, c = 5.788 Å
α = 90.00°, β = 90.00°, γ = 90.00°
Positions (direct):
1 H 0.250 0.000 0.500
2 H 0.000 0.500 0.250
3 H 0.500 0.750 0.000
4 H 0.750 0.000 0.500
5 H 0.000 0.500 0.750
6 H 0.500 0.250 0.000
7 Te 0.500 0.500 0.500
8 Te 0.000 0.000 0.000
9 Zr 0.000 0.250 0.500
10 Zr 0.000 0.750 0.500
11 Zr 0.500 0.000 0.750
12 Zr 0.750 0.500 0.000
13 Zr 0.500 0.000 0.250
14 Zr 0.250 0.500 0.000

Computed properties:
* space group: No. 223



## Ca6PBr3N2 (PBE)

Data for crystalline Ca6PBr3N2 at its relaxed geometry.

a = 6.728 Å, b = 6.728 Å, c = 7.382 Å
α = 98.74°, β = 98.74°, γ = 119.98°
Positions (direct):
1 Ca 0.939 0.573 0.817
2 Ca 0.696 0.696 0.183
3 Ca 0.061 0.427 0.183
4 Ca 0.573 0.939 0.817
5 Ca 0.304 0.304 0.817
6 Ca 0.427 0.061 0.183
7 P 0.000 0.000 0.000
8 Br 0.164 0.836 0.500
9 Br 0.836 0.164 0.500
10 Br 0.500 0.500 0.500
11 N 0.333 0.667 0.000
12 N 0.667 0.333 0.000

Computed properties:
* space group: No. 12
* E_form (uncorrected): -1.43 eV per atom



## ReW2 (PBE)

Data for crystalline ReW2 at its relaxed geometry.

a = 2.712 Å, b = 4.389 Å, c = 8.033 Å
α = 90.00°, β = 90.00°, γ = 90.00°
Positions (direct):
1 Re 0.000 0.000 0.000
2 Re 0.500 0.500 0.500
3 W 0.160 0.000 0.339
4 W 0.340 0.500 0.839
5 W 0.660 0.500 0.161
6 W 0.840 0.000 0.661

Computed properties:
* formation enthalpy at 0 K: 205 meV per atom
* space group: No. 58



## Na3Cd2Te4 (PBE)

Data for crystalline Na3Cd2Te4 at its relaxed geometry.

a = 4.127 Å, b = 8.325 Å, c = 12.418 Å
α = 129.50°, β = 90.00°, γ = 104.35°
Positions (direct):
1 Na 0.618 0.236 0.797
2 Na 0.000 0.000 0.000
3 Na 0.382 0.764 0.203
4 Cd 0.707 0.414 0.345
5 Cd 0.293 0.586 0.655
6 Te 0.696 0.392 0.112
7 Te 0.304 0.608 0.888
8 Te 0.912 0.823 0.638
9 Te 0.088 0.177 0.362

Computed properties:
* space group: No. 12
* E_form (uncorrected): -0.60 eV per atom



## Ca2NpPaP4 (PBE)

Data for crystalline Ca2NpPaP4 at its relaxed geometry.

a = 4.065 Å, b = 7.023 Å, c = 7.048 Å
α = 109.57°, β = 90.00°, γ = 90.00°
Positions (direct):
1 Ca 0.500 0.000 0.500
2 Ca 0.000 0.500 0.500
3 Np 0.000 0.000 0.000
4 Pa 0.500 0.500 0.000
5 P 0.500 0.245 0.228
6 P 0.500 0.755 0.772
7 P 0.000 0.260 0.770
8 P 0.000 0.740 0.230

Computed properties:
* formation enthalpy at 0 K: -1134 meV per atom
* space group: No. 10



## Mg4TaCd (PBE)

Data for crystalline Mg4TaCd at its relaxed geometry.

a = 5.637 Å, b = 5.637 Å, c = 5.637 Å
α = 60.00°, β = 60.00°, γ = 60.00°
Positions (direct):
1 Mg 0.872 0.376 0.376
2 Mg 0.376 0.376 0.872
3 Mg 0.376 0.872 0.376
4 Mg 0.376 0.376 0.376
5 Ta 0.750 0.750 0.750
6 Cd 0.000 0.000 0.000

Computed properties:
* formation enthalpy at 0 K: 496 meV per atom
* space group: No. 216



## Mg5Au24 (PBE)

Data for crystalline Mg5Au24 at its relaxed geometry.

a = 8.897 Å, b = 8.897 Å, c = 8.897 Å
α = 109.47°, β = 109.47°, γ = 109.47°
Positions (direct):
1 Au 0.191 0.379 0.000
2 Au 0.379 0.191 0.000
3 Au 0.809 0.809 0.188
4 Au 0.621 0.621 0.812
5 Au 0.809 0.188 0.809
6 Au 0.621 0.812 0.621
7 Au 0.379 0.000 0.191
8 Au 0.191 0.000 0.379
9 Au 0.000 0.379 0.191
10 Au 0.000 0.191 0.379
11 Au 0.812 0.621 0.621
12 Au 0.188 0.809 0.809
13 Au 0.692 0.421 0.000
14 Au 0.421 0.692 0.000
15 Au 0.308 0.308 0.729
16 Au 0.579 0.579 0.271
17 Au 0.308 0.729 0.308
18 Au 0.579 0.271 0.579
19 Au 0.421 0.000 0.692
20 Au 0.692 0.000 0.421
21 Au 0.000 0.421 0.692
22 Au 0.000 0.692 0.421
23 Au 0.271 0.579 0.579
24 Au 0.729 0.308 0.308
25 Mg 0.000 0.632 0.000
26 Mg 0.632 0.000 0.000
27 Mg 0.000 0.000 0.632
28 Mg 0.368 0.368 0.368
29 Mg 0.000 0.000 0.000

Computed properties:
* formation enthalpy at 0 K: -177 meV per atom
* space group: No. 217



## CsRb2NdI6 (PBE)

Data for crystalline CsRb2NdI6 at its relaxed geometry.

a = 9.134 Å, b = 9.135 Å, c = 9.540 Å
α = 61.40°, β = 61.40°, γ = 60.00°
Positions (direct):
1 Cs 0.814 0.814 0.557
2 Rb 0.528 0.528 0.417
3 Rb 0.016 0.016 0.953
4 Nd 0.324 0.324 0.027
5 I 0.559 0.220 0.240
6 I 0.220 0.981 0.240
7 I 0.981 0.559 0.240
8 I 0.411 0.675 0.781
9 I 0.675 0.134 0.781
10 I 0.134 0.411 0.781

Computed properties:
* space group: No. 146
* E_form (uncorrected): -1.48 eV per atom



## Pm3Nd2S4 (PBE)

Data for crystalline Pm3Nd2S4 at its relaxed geometry.

a = 4.033 Å, b = 6.986 Å, c = 8.966 Å
α = 74.68°, β = 77.00°, γ = 73.22°
Positions (direct):
1 Pm 0.000 0.000 0.000
2 Pm 0.203 0.395 0.198
3 Pm 0.797 0.605 0.802
4 Nd 0.601 0.194 0.603
5 Nd 0.399 0.806 0.397
6 S 0.799 0.101 0.300
7 S 0.201 0.899 0.700
8 S 0.398 0.302 0.901
9 S 0.602 0.698 0.099

Computed properties:
* space group: No. 12
* E_form (uncorrected): -1.79 eV per atom



Number 1: DFT total energy -3.4611 eV/atom. Number 2: DFT total energy -4.4658 eV/atom. Number 3: DFT total energy -2.2595 eV/atom. Number 4: DFT total energy -2.2559 eV/atom. Number 5: DFT total energy -9.0144 eV/atom. Number 6: DFT total energy -6.0264 eV/atom. Number 7: DFT total energy -4.6881 eV/atom. Number 8: DFT total energy -12.5799 eV/atom. Number 9: DFT total energy -2.6408 eV/atom. Number 10: DFT total energy -7.1438 eV/atom. Number 11: DFT total energy -2.6955 eV/atom. Number 12: DFT total energy -3.1647 eV/atom. Number 13: DFT total energy -3.1683 eV/atom. Number 14: DFT total energy -6.2654 eV/atom.